Run P
! SrSc2Au | Alexandria via LeMat-Bulk | PBE | optimized geometry; values from VASP
&SYSTEM
  ibrav = 0, nat = 4, ntyp = 3
/
ATOMIC_SPECIES
Sc 44.96 Sc.upf
Sr 87.62 Sr.upf
Au 196.97 Au.upf
ATOMIC_POSITIONS crystal
Sc 0.000 0.000 0.000
Sr 0.500 0.000 0.500
Sc 0.500 0.500 0.000
Au 0.000 0.500 0.500
CELL_PARAMETERS angstrom
-2.705 -2.875 0.491
3.313 -3.391 -1.606
1.611 -0.697 4.792
! Fermi-level density of states = 1.077 states/eV/atom
! ρ = 6.1 Mg/m³

Run Q
! SrSc2Au | Alexandria via LeMat-Bulk | PBE | optimized geometry; values from VASP
&SYSTEM
  ibrav = 0, nat = 4, ntyp = 3
/
ATOMIC_SPECIES
Au 196.97 Au.upf
Sr 87.62 Sr.upf
Sc 44.96 Sc.upf
ATOMIC_POSITIONS crystal
Au 0.000 0.500 0.500
Sr 0.500 0.000 0.500
Sc 0.500 0.500 0.000
Sc 0.000 0.000 0.000
CELL_PARAMETERS angstrom
-2.253 -0.895 6.027
5.466 -2.832 -2.075
2.415 1.293 1.992
! Fermi-level density of states = 1.529 states/eV/atom
! ρ = 5.9 Mg/m³

On energetic grounds, run P is preferred over the next structure by 10.1 kJ/mol of atoms.

Run P
! SrSc2Au | Alexandria via LeMat-Bulk | PBE | optimized geometry; values from VASP
&SYSTEM
  ibrav = 0, nat = 4, ntyp = 3
/
ATOMIC_SPECIES
Sc 44.96 Sc.upf
Au 196.97 Au.upf
Sr 87.62 Sr.upf
ATOMIC_POSITIONS crystal
Sc 0.000 0.040 0.960
Sc 0.500 0.305 0.195
Au 0.500 0.696 0.804
Sr 0.000 0.459 0.541
CELL_PARAMETERS angstrom
-2.267 1.391 -2.409
-2.771 -1.356 1.825
-3.251 5.783 6.397
! Fermi-level density of states = 1.103 states/eV/atom
! ρ = 5.7 Mg/m³

Run Q
! SrSc2Au | Alexandria via LeMat-Bulk | PBE | optimized geometry; values from VASP
&SYSTEM
  ibrav = 0, nat = 4, ntyp = 3
/
ATOMIC_SPECIES
Sc 44.96 Sc.upf
Au 196.97 Au.upf
Sr 87.62 Sr.upf
ATOMIC_POSITIONS crystal
Sc 0.047 0.047 0.000
Sc 0.453 0.453 0.000
Au 0.250 0.750 0.500
Sr 0.750 0.250 0.500
CELL_PARAMETERS angstrom
6.530 -0.001 -0.001
3.332 5.616 0.001
-4.270 -3.969 2.943
! Fermi-level density of states = 1.375 states/eV/atom
! ρ = 5.8 Mg/m³

On energetic grounds, run P is preferred over the next structure by 1.5 kJ/mol of atoms.

Run P
! SrSc2Au | Alexandria via LeMat-Bulk | PBE | optimized geometry; values from VASP
&SYSTEM
  ibrav = 0, nat = 4, ntyp = 3
/
ATOMIC_SPECIES
Sc 44.96 Sc.upf
Sr 87.62 Sr.upf
Au 196.97 Au.upf
ATOMIC_POSITIONS crystal
Sc 0.275 0.275 0.203
Sc 0.059 0.059 0.866
Sr 0.449 0.449 0.495
Au 0.718 0.718 0.936
CELL_PARAMETERS angstrom
6.349 0.100 0.774
5.316 3.471 0.774
2.745 0.841 5.645
! Fermi-level density of states = 1.249 states/eV/atom
! ρ = 5.5 Mg/m³

Run Q
! SrSc2Au | Alexandria via LeMat-Bulk | PBE | optimized geometry; values from VASP
&SYSTEM
  ibrav = 0, nat = 8, ntyp = 3
/
ATOMIC_SPECIES
Sc 44.96 Sc.upf
Sr 87.62 Sr.upf
Au 196.97 Au.upf
ATOMIC_POSITIONS crystal
Sc 0.875 0.950 0.750
Sr 0.500 0.500 0.000
Sr 0.250 0.750 0.500
Sc 0.375 0.300 0.750
Sc 0.050 0.625 0.250
Au 0.000 0.000 0.000
Sc 0.700 0.125 0.250
Au 0.750 0.250 0.500
CELL_PARAMETERS angstrom
-6.519 -5.434 0.767
5.487 -6.482 0.702
-0.465 -5.571 3.914
! Fermi-level density of states = 0.806 states/eV/atom
! ρ = 5.3 Mg/m³

Run R
! SrSc2Au | Alexandria via LeMat-Bulk | PBE | optimized geometry; values from VASP
&SYSTEM
  ibrav = 0, nat = 4, ntyp = 3
/
ATOMIC_SPECIES
Sr 87.62 Sr.upf
Sc 44.96 Sc.upf
Au 196.97 Au.upf
ATOMIC_POSITIONS crystal
Sr 0.250 0.250 0.250
Sc 0.474 0.474 0.474
Sc 0.026 0.026 0.026
Au 0.750 0.750 0.750
CELL_PARAMETERS angstrom
-2.853 3.704 -8.750
-6.145 2.301 -7.441
-4.984 5.763 -6.354
! Fermi-level density of states = 1.297 states/eV/atom
! ρ = 5.1 Mg/m³

Run S
! SrSc2Au | Alexandria via LeMat-Bulk | PBE | optimized geometry; values from VASP
&SYSTEM
  ibrav = 0, nat = 4, ntyp = 3
/
ATOMIC_SPECIES
Sc 44.96 Sc.upf
Sr 87.62 Sr.upf
Au 196.97 Au.upf
ATOMIC_POSITIONS crystal
Sc 0.891 0.891 0.891
Sc 0.109 0.109 0.109
Sr 0.000 0.000 0.000
Au 0.500 0.500 0.500
CELL_PARAMETERS angstrom
-9.725 -1.928 4.128
-7.785 -1.694 7.201
-9.057 1.327 5.616
! Fermi-level density of states = 1.287 states/eV/atom
! ρ = 5.1 Mg/m³

On energetic grounds, run P is preferred over the next structure by 5.4 kJ/mol of atoms.

Run P
! SrSc2Au | Alexandria via LeMat-Bulk | PBE | optimized geometry; values from VASP
&SYSTEM
  ibrav = 0, nat = 4, ntyp = 3
/
ATOMIC_SPECIES
Sc 44.96 Sc.upf
Au 196.97 Au.upf
Sr 87.62 Sr.upf
ATOMIC_POSITIONS crystal
Sc 0.000 0.918 0.947
Au 0.500 0.750 0.750
Sc 0.000 0.582 0.553
Sr 0.500 0.250 0.250
CELL_PARAMETERS angstrom
4.674 0.000 0.000
0.000 3.712 0.026
0.000 1.817 6.315
! Fermi-level density of states = 1.404 states/eV/atom
! ρ = 5.7 Mg/m³

Run Q
! SrSc2Au | Alexandria via LeMat-Bulk | PBE | optimized geometry; values from VASP
&SYSTEM
  ibrav = 0, nat = 4, ntyp = 3
/
ATOMIC_SPECIES
Sc 44.96 Sc.upf
Sr 87.62 Sr.upf
Au 196.97 Au.upf
ATOMIC_POSITIONS crystal
Sc 0.250 0.250 0.250
Sr 0.750 0.750 0.750
Au 0.500 0.500 0.500
Sc 0.000 0.000 0.000
CELL_PARAMETERS angstrom
-3.086 -1.867 -3.814
-4.305 -2.747 1.216
-4.753 2.085 -0.787
! Fermi-level density of states = 1.651 states/eV/atom
! ρ = 6.1 Mg/m³

On energetic grounds, run P is preferred over the next structure by 13.0 kJ/mol of atoms.